No. 1
Material: SrTaMo2
Method: DFT, GGA-PBE
State: optimized geometry

- Symmetry: C2/m, No. 12
- E_form: 3.46 eV/f.u.
- Relative energy among the computed polymorphs: 1.288 eV per formula unit
- Size of the total moment: 0.00 μB per cell

Structure (POSCAR):
```
SrTaMo2
1.0
-2.324 0.679 -4.229
-2.067 -2.078 -3.893
-5.818 -0.170 3.058
Ta Mo Sr
1 2 1
Cartesian
-2.552 -0.392 -1.266
-4.738 -1.403 -7.878
-4.757 -0.782 -2.775
-7.657 -1.177 -3.798
```

No. 2
Material: SrTaMo2
Method: DFT, GGA-PBE
State: optimized geometry

- Symmetry: Cmmm, No. 65
- E_form: 4.15 eV/f.u.
- Relative energy among the computed polymorphs: 1.976 eV per formula unit
- Size of the total moment: 0.00 μB per cell

Structure (POSCAR):
```
SrTaMo2
1.0
-5.725 0.291 0.394
2.293 -2.011 -4.869
-0.058 -2.516 1.012
Sr Mo Ta
1 2 1
Cartesian
-2.891 -1.113 0.703
-1.716 -0.860 -2.237
0.000 0.000 0.000
1.118 -2.263 -1.929
```

No. 3
Material: SrTaMo2
Method: DFT, GGA-PBE
State: optimized geometry

- Symmetry: Fm-3m, No. 225
- E_form: 3.90 eV/f.u.
- Relative energy among the computed polymorphs: 1.723 eV per formula unit
- Size of the total moment: 0.00 μB per cell

Structure (POSCAR):
```
SrTaMo2
1.0
0.284 -1.840 4.423
-4.002 -1.189 2.365
-1.061 -4.619 0.749
Mo Ta Sr
2 1 1
Cartesian
-1.195 -1.912 1.884
-3.585 -5.736 5.653
-2.390 -3.824 3.769
0.000 0.000 0.000
```

No. 4
Material: SrTaMo2
Method: DFT, GGA-PBE
State: optimized geometry

- Symmetry: P4mm, No. 99
- E_form: 2.37 eV/f.u.
- Relative energy among the computed polymorphs: 0.193 eV per formula unit
- Size of the total moment: 0.03 μB per cell

Structure (POSCAR):
```
SrTaMo2
1.0
3.222 0.000 0.000
0.000 3.222 0.000
0.000 0.000 8.271
Sr Mo Ta
1 2 1
Cartesian
0.000 0.000 4.022
1.611 1.611 1.488
0.000 0.000 0.100
1.611 1.611 6.796
```

No. 5
Material: SrTaMo2
Method: DFT, GGA-PBE
State: optimized geometry

- Symmetry: I-4m2, No. 119
- E_form: 4.12 eV/f.u.
- Relative energy among the computed polymorphs: 1.943 eV per formula unit
- Size of the total moment: 0.00 μB per cell

Structure (POSCAR):
```
SrTaMo2
1.0
4.783 0.000 0.000
0.013 4.783 0.000
-2.398 -2.392 3.378
Mo Ta Sr
2 1 1
Cartesian
0.007 2.392 1.689
0.000 0.000 0.000
2.392 0.000 1.689
2.398 2.392 0.000
```

No. 6
Material: SrTaMo2
Method: DFT, GGA-PBE
State: optimized geometry

- Symmetry: Pmmm, No. 47
- E_form: 4.61 eV/f.u.
- Relative energy among the computed polymorphs: 2.436 eV per formula unit
- Size of the total moment: 0.00 μB per cell

Structure (POSCAR):
```
SrTaMo2
1.0
3.162 0.000 0.000
0.000 5.077 0.000
0.000 0.000 4.820
Mo Ta Sr
2 1 1
Cartesian
1.581 2.538 0.000
0.000 0.000 0.000
0.000 2.538 2.410
1.581 0.000 2.410
```

No. 7
Material: SrTa3Mo
Method: DFT, GGA-PBE
State: optimized geometry

- Symmetry: Pm-3m, No. 221
- E_form: 15.62 eV/f.u.
- Relative energy among the computed polymorphs: 9.969 eV per formula unit
- Size of the total moment: 0.00 μB per cell

Structure (POSCAR):
```
SrTa3Mo
1.0
4.771 0.000 0.000
0.000 4.771 0.000
0.000 0.000 4.771
Ta Sr Mo
3 1 1
Cartesian
0.000 0.000 2.385
0.000 2.385 0.000
2.385 0.000 0.000
0.000 0.000 0.000
2.385 2.385 2.385
```

No. 8
Material: SrTaMo2
Method: DFT, GGA-PBE
State: optimized geometry

- Symmetry: Cmm2, No. 35
- E_form: 2.56 eV/f.u.
- Relative energy among the computed polymorphs: 0.382 eV per formula unit
- Size of the total moment: 0.00 μB per cell

Structure (POSCAR):
```
SrTaMo2
1.0
2.929 0.003 0.000
-1.073 2.725 0.000
0.000 0.000 10.039
Sr Ta Mo
1 1 2
Cartesian
0.000 0.000 4.918
0.928 1.364 7.957
0.928 1.364 2.107
0.000 0.000 0.076
```

No. 9
Material: SrTaMo2
Method: DFT, GGA-PBE
State: optimized geometry

- Symmetry: Immm, No. 71
- E_form: 3.95 eV/f.u.
- Relative energy among the computed polymorphs: 1.778 eV per formula unit
- Size of the total moment: 0.00 μB per cell

Structure (POSCAR):
```
SrTaMo2
1.0
-1.788 -1.513 -5.190
-0.630 -5.612 -0.727
-1.649 4.706 2.749
Sr Ta Mo
1 1 2
Cartesian
-2.323 -0.185 -2.700
-1.744 -2.234 -0.468
-0.051 -0.151 -0.125
-1.157 -3.411 -2.833
```

No. 10
Material: SrTaMo2
Method: DFT, GGA-PBE
State: optimized geometry

- Symmetry: Cmmm, No. 65
- E_form: 2.55 eV/f.u.
- Relative energy among the computed polymorphs: 0.372 eV per formula unit
- Size of the total moment: 0.00 μB per cell

Structure (POSCAR):
```
SrTaMo2
1.0
2.943 -0.004 0.000
-1.040 2.753 0.000
0.000 0.000 9.820
Ta Mo Sr
1 2 1
Cartesian
0.952 1.375 7.365
0.000 0.000 5.258
0.000 0.000 9.473
0.952 1.375 2.455
```

No. 11
Material: SrTa3Mo
Method: DFT, GGA-PBE
State: optimized geometry

- Symmetry: Pm-3m, No. 221
- E_form: 5.65 eV/f.u.
- Relative energy among the computed polymorphs: 0.000 eV per formula unit
- Size of the total moment: 0.00 μB per cell

Structure (POSCAR):
```
SrTa3Mo
1.0
4.977 0.000 0.000
0.000 4.977 0.000
0.000 0.000 4.977
Ta Sr Mo
3 1 1
Cartesian
0.000 0.000 2.489
0.000 2.489 0.000
2.489 0.000 0.000
2.489 2.489 2.489
0.000 0.000 0.000
```

No. 12
Material: SrTaMo2
Method: DFT, GGA-PBE
State: optimized geometry

- Symmetry: R-3m, No. 166
- E_form: 3.91 eV/f.u.
- Relative energy among the computed polymorphs: 1.736 eV per formula unit
- Size of the total moment: 0.00 μB per cell

Structure (POSCAR):
```
SrTaMo2
1.0
-9.864 3.833 2.391
-10.289 3.409 -0.453
-10.687 1.220 1.417
Mo Ta Sr
2 1 1
Cartesian
-15.219 4.176 1.655
-0.201 0.055 0.022
-23.130 6.347 2.516
-7.710 2.116 0.839
```

No. 13
Material: SrTaMo2
Method: DFT, GGA-PBE
State: optimized geometry

- Symmetry: P2/m, No. 10
- E_form: 2.46 eV/f.u.
- Relative energy among the computed polymorphs: 0.280 eV per formula unit
- Size of the total moment: 0.00 μB per cell

Structure (POSCAR):
```
SrTaMo2
1.0
-2.514 -0.141 -3.613
2.460 -0.512 -1.692
-0.258 -6.897 0.448
Ta Mo Sr
1 2 1
Cartesian
0.394 -5.627 -2.739
-0.018 -6.327 0.259
0.861 -4.274 -0.433
-0.707 -1.923 -2.117
```

No. 14
Material: SrTaMo2
Method: DFT, GGA-PBE
State: optimized geometry

- Symmetry: P4/mmm, No. 123
- E_form: 4.25 eV/f.u.
- Relative energy among the computed polymorphs: 2.069 eV per formula unit
- Size of the total moment: 0.00 μB per cell

Structure (POSCAR):
```
SrTaMo2
1.0
4.978 0.000 0.000
0.000 4.978 0.000
0.000 0.000 3.134
Ta Sr Mo
1 1 2
Cartesian
0.000 2.489 1.567
2.489 0.000 1.567
2.489 2.489 0.000
0.000 0.000 0.000
```

No. 15
Material: SrTcMo2
Method: DFT, GGA-PBE
State: optimized geometry

- Symmetry: C2/m, No. 12
- E_form: 3.90 eV/f.u.
- Relative energy among the computed polymorphs: 1.501 eV per formula unit
- Size of the total moment: 0.00 μB per cell

Structure (POSCAR):
```
SrTcMo2
1.0
-5.024 1.802 1.976
1.480 -5.461 0.616
0.600 0.041 2.647
Sr Mo Tc
1 2 1
Cartesian
-2.212 0.922 2.312
0.000 0.000 0.000
-1.772 -1.830 1.296
1.040 -2.710 1.632
```

No. 16
Material: SrTcMo2
Method: DFT, GGA-PBE
State: optimized geometry

- Symmetry: P4/mmm, No. 123
- E_form: 2.70 eV/f.u.
- Relative energy among the computed polymorphs: 0.305 eV per formula unit
- Size of the total moment: 0.00 μB per cell

Structure (POSCAR):
```
SrTcMo2
1.0
3.392 0.000 0.000
0.000 3.392 0.000
0.000 0.000 7.549
Sr Mo Tc
1 2 1
Cartesian
1.696 1.696 1.887
0.000 0.000 4.473
0.000 0.000 6.850
1.696 1.696 5.662
```

No. 17
Material: SrTcMo2
Method: DFT, GGA-PBE
State: optimized geometry

- Symmetry: F-43m, No. 216
- E_form: 3.87 eV/f.u.
- Relative energy among the computed polymorphs: 1.466 eV per formula unit
- Size of the total moment: 0.00 μB per cell

Structure (POSCAR):
```
SrTcMo2
1.0
4.682 -0.004 0.000
-0.001 4.682 0.000
-2.341 -2.339 3.313
Mo Tc Sr
2 1 1
Cartesian
0.000 0.000 0.000
0.000 2.341 1.656
2.341 -0.002 1.656
2.341 2.339 0.000
```

No. 18
Material: SrTcMo4
Method: DFT, GGA-PBE
State: optimized geometry

- Symmetry: F-43m, No. 216
- E_form: 4.06 eV/f.u.
- Size of the total moment: 0.00 μB per cell

Structure (POSCAR):
```
SrTcMo4
1.0
-4.403 1.084 2.905
-4.870 -0.292 -2.280
-3.375 -3.971 1.358
Tc Mo Sr
1 4 1
Cartesian
0.000 0.000 0.000
-4.738 -1.191 0.743
-6.431 -3.183 1.424
-7.181 -1.337 -0.401
-6.947 -0.646 2.201
-9.486 -2.384 1.488
```

No. 19
Material: SrTcMo2
Method: DFT, GGA-PBE
State: optimized geometry

- Symmetry: P2/m, No. 10
- E_form: 2.61 eV/f.u.
- Relative energy among the computed polymorphs: 0.215 eV per formula unit
- Size of the total moment: 0.00 μB per cell

Structure (POSCAR):
```
SrTcMo2
1.0
3.853 0.000 0.000
0.000 3.085 -0.003
0.000 2.317 7.323
Mo Sr Tc
2 1 1
Cartesian
0.000 2.194 6.647
0.000 2.825 4.336
1.926 1.351 1.830
1.926 4.052 5.490
```

No. 20
Material: Sr2TcMo
Method: DFT, GGA-PBE
State: optimized geometry

- Symmetry: C2/m, No. 12
- E_form: 4.75 eV/f.u.
- Relative energy among the computed polymorphs: 3.241 eV per formula unit
- Size of the total moment: 0.00 μB per cell

Structure (POSCAR):
```
Sr2TcMo
1.0
6.067 -0.012 -0.002
-3.264 5.114 -0.002
0.007 0.012 2.897
Sr Tc Mo
2 1 1
Cartesian
0.000 0.000 0.000
1.402 2.551 -0.002
3.037 0.000 1.448
-1.629 2.563 1.448
```

No. 21
Material: Sr2TcMo
Method: DFT, GGA-PBE
State: optimized geometry

- Symmetry: I4/mmm, No. 139
- E_form: 4.72 eV/f.u.
- Relative energy among the computed polymorphs: 3.207 eV per formula unit
- Size of the total moment: 0.00 μB per cell

Structure (POSCAR):
```
Sr2TcMo
1.0
6.057 -0.006 0.000
3.269 5.099 0.000
-4.663 -2.547 2.908
Sr Mo Tc
2 1 1
Cartesian
0.000 0.000 0.000
4.663 2.547 0.000
3.029 -0.003 1.454
1.635 2.550 1.454
```

No. 22
Material: Sr2TcMo
Method: DFT, GGA-PBE
State: optimized geometry

- Symmetry: Pm, No. 6
- E_form: 1.88 eV/f.u.
- Relative energy among the computed polymorphs: 0.370 eV per formula unit
- Size of the total moment: 0.00 μB per cell

Structure (POSCAR):
```
Sr2TcMo
1.0
3.367 0.000 0.000
0.000 3.367 -0.003
0.000 3.421 9.664
Mo Sr Tc
1 2 1
Cartesian
1.683 5.085 6.552
1.683 1.715 3.138
0.000 3.404 8.987
0.000 3.400 5.479
```

No. 23
Material: Sr2TcMo
Method: DFT, GGA-PBE
State: optimized geometry

- Symmetry: P4/mmm, No. 123
- E_form: 5.62 eV/f.u.
- Relative energy among the computed polymorphs: 4.115 eV per formula unit
- Size of the total moment: 5.80 μB per cell

Structure (POSCAR):
```
Sr2TcMo
1.0
-1.916 0.015 -5.066
-2.629 -4.633 0.980
-2.973 1.926 1.130
Tc Mo Sr
1 1 2
Cartesian
-2.445 0.971 -1.968
-2.801 -1.353 1.055
0.000 0.000 0.000
-2.272 -2.309 -2.043
```

No. 24
Material: Sr2TcMo
Method: DFT, GGA-PBE
State: optimized geometry

- Symmetry: P2/m, No. 10
- E_form: 4.75 eV/f.u.
- Relative energy among the computed polymorphs: 3.242 eV per formula unit
- Size of the total moment: 0.00 μB per cell

Structure (POSCAR):
```
Sr2TcMo
1.0
-1.464 4.487 2.458
-0.342 -1.470 2.479
5.186 -0.419 3.854
Sr Mo Tc
2 1 1
Cartesian
-0.333 -1.469 2.484
2.413 -0.945 3.162
2.901 0.827 5.979
0.479 1.772 2.812
```

No. 25
Material: SrTcMo2
Method: DFT, GGA-PBE
State: optimized geometry

- Symmetry: P4/mmm, No. 123
- E_form: 4.68 eV/f.u.
- Relative energy among the computed polymorphs: 2.285 eV per formula unit
- Size of the total moment: 0.00 μB per cell

Structure (POSCAR):
```
SrTcMo2
1.0
4.818 0.000 0.000
0.000 4.818 0.000
0.000 0.000 3.115
Tc Mo Sr
1 2 1
Cartesian
0.000 2.409 1.558
2.409 2.409 0.000
0.000 0.000 0.000
2.409 0.000 1.558
```

No. 26
Material: SrTcMo2
Method: DFT, GGA-PBE
State: optimized geometry

- Symmetry: Pmmm, No. 47
- E_form: 4.30 eV/f.u.
- Relative energy among the computed polymorphs: 1.900 eV per formula unit
- Size of the total moment: 0.00 μB per cell

Structure (POSCAR):
```
SrTcMo2
1.0
3.170 0.000 0.000
0.000 4.716 0.000
0.000 0.000 4.880
Sr Mo Tc
1 2 1
Cartesian
1.585 0.000 2.440
0.000 0.000 0.000
1.585 2.358 0.000
0.000 2.358 2.440
```

No. 27
Material: Sr2TcMo
Method: DFT, GGA-PBE
State: optimized geometry

- Symmetry: P4/mmm, No. 123
- E_form: 4.72 eV/f.u.
- Relative energy among the computed polymorphs: 3.210 eV per formula unit
- Size of the total moment: 0.00 μB per cell

Structure (POSCAR):
```
Sr2TcMo
1.0
4.091 0.000 0.000
0.000 4.096 0.000
0.000 0.000 5.330
Sr Tc Mo
2 1 1
Cartesian
2.045 2.048 0.000
0.000 0.000 0.000
2.045 0.000 2.665
0.000 2.048 2.665
```

No. 28
Material: SrTcMo2
Method: DFT, GGA-PBE
State: optimized geometry

- Symmetry: Fm-3m, No. 225
- E_form: 4.04 eV/f.u.
- Relative energy among the computed polymorphs: 1.637 eV per formula unit
- Size of the total moment: 0.00 μB per cell

Structure (POSCAR):
```
SrTcMo2
1.0
0.000 3.300 3.300
3.300 0.000 3.300
3.300 3.300 0.000
Mo Sr Tc
2 1 1
Cartesian
1.650 1.650 1.650
4.949 4.949 4.949
0.000 0.000 0.000
3.300 3.300 3.300
```

No. 29
Material: SrTcMo2
Method: DFT, GGA-PBE
State: optimized geometry

- Symmetry: P4mm, No. 99
- E_form: 2.40 eV/f.u.
- Relative energy among the computed polymorphs: 0.000 eV per formula unit
- Size of the total moment: 0.00 μB per cell

Structure (POSCAR):
```
SrTcMo2
1.0
-0.082 0.873 3.084
-0.919 -2.962 0.815
7.491 -2.105 0.794
Sr Tc Mo
1 1 2
Cartesian
3.805 -1.069 0.403
5.631 -2.767 2.599
0.846 -1.423 2.092
7.445 -2.092 0.789
```

No. 30
Material: Sr4TcMo
Method: DFT, GGA-PBE
State: optimized geometry

- Symmetry: F-43m, No. 216
- E_form: 9.96 eV/f.u.
- Size of the total moment: 7.71 μB per cell

Structure (POSCAR):
```
Sr4TcMo
1.0
0.000 4.789 4.789
4.789 0.000 4.789
4.789 4.789 0.000
Sr Mo Tc
4 1 1
Cartesian
5.984 3.594 5.984
3.594 3.594 3.594
5.984 5.984 3.594
3.594 5.984 5.984
0.000 0.000 0.000
7.183 7.183 7.183
```